# 1
# BaLiPb4 PBE relaxed
data_BaLiPb4
_chemical_formula_sum 'Ba1 Li1 Pb4'
_cell_length_a 6.631
_cell_length_b 6.631
_cell_length_c 6.631
_cell_angle_alpha 60.00
_cell_angle_beta 60.00
_cell_angle_gamma 60.00
_space_group_name_H-M_alt 'P 1'
_space_group_IT_number 1
loop_
_space_group_symop_operation_xyz
'x,y,z'
loop_
_atom_site_label
_atom_site_type_symbol
_atom_site_fract_x
_atom_site_fract_y
_atom_site_fract_z
Ba1 Ba 0.000 0.000 0.000
Li1 Li 0.750 0.750 0.750
Pb1 Pb 0.374 0.374 0.374
Pb2 Pb 0.374 0.374 0.878
Pb3 Pb 0.374 0.878 0.374
Pb4 Pb 0.878 0.374 0.374
# SG	No. 216
# ΔE to the lowest computed polymorph	103	meV per atom
# E_form	-0.222	eV/atom



# 2
# HgGe2Sb2 PBE relaxed
data_HgGe2Sb2
_chemical_formula_sum 'Hg2 Ge4 Sb4'
_cell_length_a 8.275
_cell_length_b 8.275
_cell_length_c 3.705
_cell_angle_alpha 90.00
_cell_angle_beta 90.00
_cell_angle_gamma 90.00
_space_group_name_H-M_alt 'P 1'
_space_group_IT_number 1
loop_
_space_group_symop_operation_xyz
'x,y,z'
loop_
_atom_site_label
_atom_site_type_symbol
_atom_site_fract_x
_atom_site_fract_y
_atom_site_fract_z
Hg1 Hg 0.000 0.000 0.000
Hg2 Hg 0.500 0.500 0.000
Ge1 Ge 0.137 0.363 0.500
Ge2 Ge 0.363 0.863 0.500
Ge3 Ge 0.637 0.137 0.500
Ge4 Ge 0.863 0.637 0.500
Sb1 Sb 0.148 0.648 0.000
Sb2 Sb 0.352 0.148 0.000
Sb3 Sb 0.648 0.852 0.000
Sb4 Sb 0.852 0.352 0.000
# SG	No. 127
# formation energy from raw total energies	0.248	eV per atom
# ΔE to the lowest computed polymorph	78	meV per atom



# 3
# RbZnCd2Cu PBE relaxed
data_RbZnCd2Cu
_chemical_formula_sum 'Rb1 Zn1 Cd2 Cu1'
_cell_length_a 6.866
_cell_length_b 6.866
_cell_length_c 6.634
_cell_angle_alpha 90.00
_cell_angle_beta 90.00
_cell_angle_gamma 90.00
_space_group_name_H-M_alt 'P 1'
_space_group_IT_number 1
loop_
_space_group_symop_operation_xyz
'x,y,z'
loop_
_atom_site_label
_atom_site_type_symbol
_atom_site_fract_x
_atom_site_fract_y
_atom_site_fract_z
Rb1 Rb 0.000 0.000 0.000
Zn1 Zn 0.000 0.000 0.500
Cd1 Cd 0.000 0.500 0.000
Cd2 Cd 0.500 0.000 0.000
Cu1 Cu 0.500 0.500 0.500
# SG	No. 123
# ΔE to the lowest computed polymorph	915	meV per atom
# E_form	0.999	eV/atom



# 4
# LaSm2Th3 PBE relaxed
data_LaSm2Th3
_chemical_formula_sum 'La2 Sm4 Th6'
_cell_length_a 8.039
_cell_length_b 8.039
_cell_length_c 11.492
_cell_angle_alpha 114.70
_cell_angle_beta 114.70
_cell_angle_gamma 37.00
_space_group_name_H-M_alt 'P 1'
_space_group_IT_number 1
loop_
_space_group_symop_operation_xyz
'x,y,z'
loop_
_atom_site_label
_atom_site_type_symbol
_atom_site_fract_x
_atom_site_fract_y
_atom_site_fract_z
La1 La 0.129 0.129 0.137
La2 La 0.871 0.871 0.863
Sm1 Sm 0.203 0.203 0.863
Sm2 Sm 0.461 0.461 0.137
Sm3 Sm 0.539 0.539 0.863
Sm4 Sm 0.797 0.797 0.137
Th1 Th 0.044 0.044 0.382
Th2 Th 0.289 0.289 0.618
Th3 Th 0.378 0.378 0.383
Th4 Th 0.622 0.622 0.617
Th5 Th 0.711 0.711 0.382
Th6 Th 0.956 0.956 0.618
# SG	No. 12
# E_form	0.029	eV/atom



# 5
# Ce8Tl2Pt PBE relaxed
data_Ce8Tl2Pt
_chemical_formula_sum 'Ce8 Tl2 Pt1'
_cell_length_a 8.357
_cell_length_b 8.357
_cell_length_c 7.260
_cell_angle_alpha 113.25
_cell_angle_beta 113.25
_cell_angle_gamma 38.64
_space_group_name_H-M_alt 'P 1'
_space_group_IT_number 1
loop_
_space_group_symop_operation_xyz
'x,y,z'
loop_
_atom_site_label
_atom_site_type_symbol
_atom_site_fract_x
_atom_site_fract_y
_atom_site_fract_z
Ce1 Ce 0.007 0.007 0.244
Ce2 Ce 0.137 0.137 0.643
Ce3 Ce 0.356 0.356 0.648
Ce4 Ce 0.392 0.392 0.059
Ce5 Ce 0.608 0.608 0.941
Ce6 Ce 0.644 0.644 0.352
Ce7 Ce 0.863 0.863 0.357
Ce8 Ce 0.993 0.993 0.756
Tl1 Tl 0.206 0.206 0.174
Tl2 Tl 0.794 0.794 0.826
Pt1 Pt 0.500 0.500 0.500
# SG	No. 12
# E_form	-0.257	eV/atom



# 6
# Ca3NdU2As6 PBE relaxed
data_Ca3NdU2As6
_chemical_formula_sum 'Ca3 Nd1 U2 As6'
_cell_length_a 7.291
_cell_length_b 7.291
_cell_length_c 7.265
_cell_angle_alpha 99.65
_cell_angle_beta 99.65
_cell_angle_gamma 119.99
_space_group_name_H-M_alt 'P 1'
_space_group_IT_number 1
loop_
_space_group_symop_operation_xyz
'x,y,z'
loop_
_atom_site_label
_atom_site_type_symbol
_atom_site_fract_x
_atom_site_fract_y
_atom_site_fract_z
Ca1 Ca 0.000 0.000 0.000
Ca2 Ca 0.337 0.663 0.000
Ca3 Ca 0.663 0.337 0.000
Nd1 Nd 0.500 0.500 0.500
U1 U 0.167 0.833 0.500
U2 U 0.833 0.167 0.500
As1 As 0.075 0.422 0.268
As2 As 0.231 0.231 0.733
As3 As 0.422 0.075 0.268
As4 As 0.578 0.925 0.732
As5 As 0.769 0.769 0.267
As6 As 0.925 0.578 0.732
# SG	No. 12
# E_form	-1.092	eV/atom